# 1
# Ac3AsS3 PBE-GGA optimized geometry
data_Ac3AsS3
_chemical_formula_sum 'Ac6 As2 S6'
_cell_length_a 8.198
_cell_length_b 8.198
_cell_length_c 8.198
_cell_angle_alpha 65.79
_cell_angle_beta 65.79
_cell_angle_gamma 65.79
_space_group_name_H-M_alt 'P 1'
_space_group_IT_number 1
_space_group_name_Hall 'P 1'
loop_
_atom_site_label
_atom_site_type_symbol
_atom_site_fract_x
_atom_site_fract_y
_atom_site_fract_z
Ac1 Ac 0.042 0.433 0.784
Ac2 Ac 0.216 0.958 0.567
Ac3 Ac 0.433 0.784 0.042
Ac4 Ac 0.567 0.216 0.958
Ac5 Ac 0.784 0.042 0.433
Ac6 Ac 0.958 0.567 0.216
As1 As 0.164 0.164 0.164
As2 As 0.836 0.836 0.836
S1 S 0.123 0.691 0.392
S2 S 0.309 0.608 0.877
S3 S 0.392 0.123 0.691
S4 S 0.608 0.877 0.309
S5 S 0.691 0.392 0.123
S6 S 0.877 0.309 0.608
# space group: No. 148
# energy relative to the elements, uncorrected: -1.891 eV/atom


# 2
# PbCl PBE-GGA optimized geometry
data_PbCl
_chemical_formula_sum 'Pb2 Cl2'
_cell_length_a 3.533
_cell_length_b 5.401
_cell_length_c 5.901
_cell_angle_alpha 90.00
_cell_angle_beta 90.00
_cell_angle_gamma 90.00
_space_group_name_H-M_alt 'P 1'
_space_group_IT_number 1
_space_group_name_Hall 'P 1'
loop_
_atom_site_label
_atom_site_type_symbol
_atom_site_fract_x
_atom_site_fract_y
_atom_site_fract_z
Pb1 Pb 0.250 0.250 0.169
Pb2 Pb 0.750 0.750 0.831
Cl1 Cl 0.250 0.250 0.643
Cl2 Cl 0.750 0.750 0.357
# space group: No. 59
# energy relative to the elements, uncorrected: -0.552 eV/atom
# Fermi-level density of states: 0.526 states/eV/atom


# 3
# CeIn2Pd PBE-GGA optimized geometry
data_CeIn2Pd
_chemical_formula_sum 'Ce1 In2 Pd1'
_cell_length_a 5.916
_cell_length_b 5.916
_cell_length_c 5.916
_cell_angle_alpha 45.99
_cell_angle_beta 45.99
_cell_angle_gamma 45.99
_space_group_name_H-M_alt 'P 1'
_space_group_IT_number 1
_space_group_name_Hall 'P 1'
loop_
_atom_site_label
_atom_site_type_symbol
_atom_site_fract_x
_atom_site_fract_y
_atom_site_fract_z
Ce1 Ce 0.000 0.000 0.000
In1 In 0.220 0.220 0.220
In2 In 0.780 0.780 0.780
Pd1 Pd 0.500 0.500 0.500
# space group: No. 166
# energy of formation from the pure elements: -442 meV per atom
# Fermi-level density of states: 1.629 states/eV/atom


# 4
# KBa2NaAu4 PBE-GGA optimized geometry
data_KBa2NaAu4
_chemical_formula_sum 'K1 Ba2 Na1 Au4'
_cell_length_a 9.654
_cell_length_b 9.654
_cell_length_c 9.654
_cell_angle_alpha 33.52
_cell_angle_beta 33.52
_cell_angle_gamma 33.52
_space_group_name_H-M_alt 'P 1'
_space_group_IT_number 1
_space_group_name_Hall 'P 1'
loop_
_atom_site_label
_atom_site_type_symbol
_atom_site_fract_x
_atom_site_fract_y
_atom_site_fract_z
K1 K 0.000 0.000 0.000
Ba1 Ba 0.247 0.247 0.247
Ba2 Ba 0.753 0.753 0.753
Na1 Na 0.500 0.500 0.500
Au1 Au 0.127 0.127 0.127
Au2 Au 0.379 0.379 0.379
Au3 Au 0.621 0.621 0.621
Au4 Au 0.873 0.873 0.873
# space group: No. 166
# energy of formation from the pure elements: -518 meV per atom
# Fermi-level density of states: 0.476 states/eV/atom


# 5
# Li5Dy12Er3 PBE-GGA optimized geometry
data_Li5Dy12Er3
_chemical_formula_sum 'Li20 Dy48 Er12'
_cell_length_a 15.310
_cell_length_b 15.310
_cell_length_c 15.310
_cell_angle_alpha 109.47
_cell_angle_beta 109.47
_cell_angle_gamma 109.47
_space_group_name_H-M_alt 'P 1'
_space_group_IT_number 1
_space_group_name_Hall 'P 1'
loop_
_atom_site_label
_atom_site_type_symbol
_atom_site_fract_x
_atom_site_fract_y
_atom_site_fract_z
Li1 Li 0.000 0.000 0.000
Li2 Li 0.000 0.000 0.500
Li3 Li 0.000 0.500 0.000
Li4 Li 0.000 0.500 0.500
Li5 Li 0.125 0.750 0.875
Li6 Li 0.125 0.875 0.250
Li7 Li 0.250 0.125 0.875
Li8 Li 0.250 0.625 0.375
Li9 Li 0.375 0.250 0.625
Li10 Li 0.375 0.625 0.750
Li11 Li 0.500 0.000 0.000
Li12 Li 0.500 0.000 0.500
Li13 Li 0.500 0.500 0.000
Li14 Li 0.500 0.500 0.500
Li15 Li 0.625 0.375 0.250
Li16 Li 0.625 0.750 0.375
Li17 Li 0.750 0.375 0.625
Li18 Li 0.750 0.875 0.125
Li19 Li 0.875 0.125 0.750
Li20 Li 0.875 0.250 0.125
Dy1 Dy 0.052 0.216 0.123
Dy2 Dy 0.052 0.336 0.929
Dy3 Dy 0.071 0.623 0.406
Dy4 Dy 0.071 0.948 0.664
Dy5 Dy 0.094 0.716 0.664
Dy6 Dy 0.094 0.877 0.429
Dy7 Dy 0.123 0.052 0.216
Dy8 Dy 0.123 0.571 0.906
Dy9 Dy 0.164 0.216 0.594
Dy10 Dy 0.164 0.448 0.571
Dy11 Dy 0.216 0.123 0.052
Dy12 Dy 0.216 0.594 0.164
Dy13 Dy 0.284 0.336 0.906
Dy14 Dy 0.284 0.448 0.377
Dy15 Dy 0.336 0.906 0.284
Dy16 Dy 0.336 0.929 0.052
Dy17 Dy 0.377 0.284 0.448
Dy18 Dy 0.377 0.594 0.929
Dy19 Dy 0.406 0.071 0.623
Dy20 Dy 0.406 0.836 0.784
Dy21 Dy 0.429 0.094 0.877
Dy22 Dy 0.429 0.836 0.552
Dy23 Dy 0.448 0.377 0.284
Dy24 Dy 0.448 0.571 0.164
Dy25 Dy 0.552 0.429 0.836
Dy26 Dy 0.552 0.623 0.716
Dy27 Dy 0.571 0.164 0.448
Dy28 Dy 0.571 0.906 0.123
Dy29 Dy 0.594 0.164 0.216
Dy30 Dy 0.594 0.929 0.377
Dy31 Dy 0.623 0.406 0.071
Dy32 Dy 0.623 0.716 0.552
Dy33 Dy 0.664 0.071 0.948
Dy34 Dy 0.664 0.094 0.716
Dy35 Dy 0.716 0.552 0.623
Dy36 Dy 0.716 0.664 0.094
Dy37 Dy 0.784 0.406 0.836
Dy38 Dy 0.784 0.877 0.948
Dy39 Dy 0.836 0.552 0.429
Dy40 Dy 0.836 0.784 0.406
Dy41 Dy 0.877 0.429 0.094
Dy42 Dy 0.877 0.948 0.784
Dy43 Dy 0.906 0.123 0.571
Dy44 Dy 0.906 0.284 0.336
Dy45 Dy 0.929 0.052 0.336
Dy46 Dy 0.929 0.377 0.594
Dy47 Dy 0.948 0.664 0.071
Dy48 Dy 0.948 0.784 0.877
Er1 Er 0.125 0.250 0.375
Er2 Er 0.125 0.375 0.750
Er3 Er 0.250 0.375 0.125
Er4 Er 0.250 0.875 0.625
Er5 Er 0.375 0.125 0.250
Er6 Er 0.375 0.750 0.125
Er7 Er 0.625 0.250 0.875
Er8 Er 0.625 0.875 0.750
Er9 Er 0.750 0.125 0.375
Er10 Er 0.750 0.625 0.875
Er11 Er 0.875 0.625 0.250
Er12 Er 0.875 0.750 0.625
# space group: No. 230
# energy of formation from the pure elements: 785 meV per atom
# Fermi-level density of states: 1.539 states/eV/atom


# 6
# NaSe3I PBE-GGA optimized geometry
data_NaSe3I
_chemical_formula_sum 'Na1 Se3 I1'
_cell_length_a 5.228
_cell_length_b 5.228
_cell_length_c 5.228
_cell_angle_alpha 90.00
_cell_angle_beta 90.00
_cell_angle_gamma 90.00
_space_group_name_H-M_alt 'P 1'
_space_group_IT_number 1
_space_group_name_Hall 'P 1'
loop_
_atom_site_label
_atom_site_type_symbol
_atom_site_fract_x
_atom_site_fract_y
_atom_site_fract_z
Na1 Na 0.000 0.000 0.000
Se1 Se 0.000 0.000 0.500
Se2 Se 0.000 0.500 0.000
Se3 Se 0.500 0.000 0.000
I1 I 0.500 0.500 0.500
# space group: No. 221
# energy relative to the elements, uncorrected: 0.698 eV/atom
# Fermi-level density of states: 1.858 states/eV/atom


# 7
# AgBrO PBE-GGA optimized geometry
data_AgBrO
_chemical_formula_sum 'Ag2 Br2 O2'
_cell_length_a 4.511
_cell_length_b 4.605
_cell_length_c 6.772
_cell_angle_alpha 80.95
_cell_angle_beta 74.08
_cell_angle_gamma 76.17
_space_group_name_H-M_alt 'P 1'
_space_group_IT_number 1
_space_group_name_Hall 'P 1'
loop_
_atom_site_label
_atom_site_type_symbol
_atom_site_fract_x
_atom_site_fract_y
_atom_site_fract_z
Ag1 Ag 0.000 0.000 0.000
Ag2 Ag 0.356 0.711 0.330
Br1 Br 0.673 0.626 0.751
Br2 Br 0.975 0.315 0.305
O1 O 0.302 0.686 0.694
O2 O 0.563 0.867 0.957
# space group: No. 1
# energy relative to the elements, uncorrected: 0.025 eV/atom


# 8
# Nd2Zn4PdAu3 PBE-GGA optimized geometry
data_Nd2Zn4PdAu3
_chemical_formula_sum 'Nd2 Zn4 Pd1 Au3'
_cell_length_a 4.298
_cell_length_b 4.298
_cell_length_c 11.011
_cell_angle_alpha 90.00
_cell_angle_beta 90.00
_cell_angle_gamma 90.00
_space_group_name_H-M_alt 'P 1'
_space_group_IT_number 1
_space_group_name_Hall 'P 1'
loop_
_atom_site_label
_atom_site_type_symbol
_atom_site_fract_x
_atom_site_fract_y
_atom_site_fract_z
Nd1 Nd 0.000 0.500 0.242
Nd2 Nd 0.500 0.000 0.758
Zn1 Zn 0.000 0.000 0.500
Zn2 Zn 0.000 0.500 0.871
Zn3 Zn 0.500 0.000 0.129
Zn4 Zn 0.500 0.500 0.500
Pd1 Pd 0.500 0.500 0.000
Au1 Au 0.000 0.000 0.000
Au2 Au 0.000 0.500 0.641
Au3 Au 0.500 0.000 0.359
# space group: No. 115
# energy of formation from the pure elements: -532 meV per atom
# Fermi-level density of states: 0.949 states/eV/atom


# 9
# Ca2SnSe PBE-GGA optimized geometry
data_Ca2SnSe
_chemical_formula_sum 'Ca2 Sn1 Se1'
_cell_length_a 8.652
_cell_length_b 8.652
_cell_length_c 8.652
_cell_angle_alpha 26.90
_cell_angle_beta 26.90
_cell_angle_gamma 26.90
_space_group_name_H-M_alt 'P 1'
_space_group_IT_number 1
_space_group_name_Hall 'P 1'
loop_
_atom_site_label
_atom_site_type_symbol
_atom_site_fract_x
_atom_site_fract_y
_atom_site_fract_z
Ca1 Ca 0.237 0.237 0.237
Ca2 Ca 0.763 0.763 0.763
Sn1 Sn 0.000 0.000 0.000
Se1 Se 0.500 0.500 0.500
# space group: No. 166
# energy relative to the elements, uncorrected: -1.219 eV/atom
# Fermi-level density of states: 0.126 states/eV/atom


# 10
# Dy2NiGe PBE-GGA optimized geometry
data_Dy2NiGe
_chemical_formula_sum 'Dy2 Ni1 Ge1'
_cell_length_a 3.429
_cell_length_b 3.429
_cell_length_c 7.139
_cell_angle_alpha 90.00
_cell_angle_beta 90.00
_cell_angle_gamma 90.00
_space_group_name_H-M_alt 'P 1'
_space_group_IT_number 1
_space_group_name_Hall 'P 1'
loop_
_atom_site_label
_atom_site_type_symbol
_atom_site_fract_x
_atom_site_fract_y
_atom_site_fract_z
Dy1 Dy 0.000 0.000 0.234
Dy2 Dy 0.000 0.000 0.766
Ni1 Ni 0.500 0.500 0.000
Ge1 Ge 0.500 0.500 0.500
# space group: No. 123
# energy of formation from the pure elements: -529 meV per atom
# Fermi-level density of states: 0.647 states/eV/atom


# 11
# Sc6InTc2 PBE-GGA optimized geometry
data_Sc6InTc2
_chemical_formula_sum 'Sc12 In2 Tc4'
_cell_length_a 8.013
_cell_length_b 8.013
_cell_length_c 8.013
_cell_angle_alpha 113.11
_cell_angle_beta 111.85
_cell_angle_gamma 103.61
_space_group_name_H-M_alt 'P 1'
_space_group_IT_number 1
_space_group_name_Hall 'P 1'
loop_
_atom_site_label
_atom_site_type_symbol
_atom_site_fract_x
_atom_site_fract_y
_atom_site_fract_z
Sc1 Sc 0.036 0.245 0.791
Sc2 Sc 0.189 0.283 0.472
Sc3 Sc 0.189 0.717 0.907
Sc4 Sc 0.333 0.022 0.689
Sc5 Sc 0.333 0.644 0.311
Sc6 Sc 0.454 0.245 0.209
Sc7 Sc 0.546 0.755 0.791
Sc8 Sc 0.667 0.356 0.689
Sc9 Sc 0.667 0.978 0.311
Sc10 Sc 0.811 0.283 0.093
Sc11 Sc 0.811 0.717 0.528
Sc12 Sc 0.964 0.755 0.209
In1 In 0.000 0.000 0.000
In2 In 0.500 0.500 0.000
Tc1 Tc 0.122 0.622 0.500
Tc2 Tc 0.328 0.000 0.328
Tc3 Tc 0.672 0.000 0.672
Tc4 Tc 0.878 0.378 0.500
# space group: No. 71
# energy of formation from the pure elements: -238 meV per atom
# Fermi-level density of states: 1.135 states/eV/atom


# 12
# Li2CdSi2Pt5 PBE-GGA optimized geometry
data_Li2CdSi2Pt5
_chemical_formula_sum 'Li4 Cd2 Si4 Pt10'
_cell_length_a 9.381
_cell_length_b 9.381
_cell_length_c 3.623
_cell_angle_alpha 90.00
_cell_angle_beta 90.00
_cell_angle_gamma 90.00
_space_group_name_H-M_alt 'P 1'
_space_group_IT_number 1
_space_group_name_Hall 'P 1'
loop_
_atom_site_label
_atom_site_type_symbol
_atom_site_fract_x
_atom_site_fract_y
_atom_site_fract_z
Li1 Li 0.170 0.330 0.000
Li2 Li 0.330 0.830 0.000
Li3 Li 0.670 0.170 0.000
Li4 Li 0.830 0.670 0.000
Cd1 Cd 0.000 0.000 0.000
Cd2 Cd 0.500 0.500 0.000
Si1 Si 0.129 0.629 0.000
Si2 Si 0.371 0.129 0.000
Si3 Si 0.629 0.871 0.000
Si4 Si 0.871 0.371 0.000
Pt1 Pt 0.000 0.500 0.500
Pt2 Pt 0.074 0.791 0.500
Pt3 Pt 0.209 0.074 0.500
Pt4 Pt 0.291 0.574 0.500
Pt5 Pt 0.426 0.291 0.500
Pt6 Pt 0.500 0.000 0.500
Pt7 Pt 0.574 0.709 0.500
Pt8 Pt 0.709 0.426 0.500
Pt9 Pt 0.791 0.926 0.500
Pt10 Pt 0.926 0.209 0.500
# space group: No. 127
# energy relative to the elements, uncorrected: -0.619 eV/atom
# Fermi-level density of states: 0.264 states/eV/atom


The evaluated VASP energy for the records listed, in turn: -6.08 -3.33 -4.59 -2.94 -3.14 -1.97 -3.14 -3.50 -4.09 -5.43 -7.07 -5.20 eV/atom.